No. 1
# PBE SrGaSN2, relaxed
# M_tot (μB/atom): 1.00
# Final energy (eV per formula unit): -19.12
# SG: P4/mmm, No. 123
data_SrGaSN2
_chemical_formula_sum 'Sr1 Ga1 S1 N2'
_cell_length_a 4.929
_cell_length_b 4.929
_cell_length_c 5.849
_cell_angle_alpha 90.00
_cell_angle_beta 90.00
_cell_angle_gamma 90.00
_space_group_name_H-M_alt 'P 1'
_space_group_IT_number 1
_space_group_name_Hall 'P 1'
loop_
_atom_site_label
_atom_site_fract_x
_atom_site_fract_y
_atom_site_fract_z
Sr1 0.000 0.000 0.000
S1 0.000 0.000 0.500
Ga1 0.500 0.500 0.500
N1 0.000 0.500 0.000
N2 0.500 0.000 0.000

No. 2
# PBE SrGaSN2, relaxed
# M_tot (μB/atom): 0.60
# Final energy (eV per formula unit): -24.47
# SG: P4/mmm, No. 123
data_SrGaSN2
_chemical_formula_sum 'Sr1 Ga1 S1 N2'
_cell_length_a 4.122
_cell_length_b 4.122
_cell_length_c 4.977
_cell_angle_alpha 90.00
_cell_angle_beta 90.00
_cell_angle_gamma 90.00
_space_group_name_H-M_alt 'P 1'
_space_group_IT_number 1
_space_group_name_Hall 'P 1'
loop_
_atom_site_label
_atom_site_fract_x
_atom_site_fract_y
_atom_site_fract_z
Sr1 0.500 0.500 0.500
S1 0.000 0.000 0.500
Ga1 0.000 0.000 0.000
N1 0.000 0.500 0.000
N2 0.500 0.000 0.000